A relaxed LiAlIn2 crystal. Source: the Alexandria database, functional PBE.

The structure in POSCAR format:
```
LiAlIn2
1.0
5.306 0.034 -0.011
1.570 5.069 0.011
-3.432 -2.560 3.136
Li Al In
1 1 2
Direct
0.250 0.750 0.500
0.750 0.250 0.500
0.500 0.500 0.000
0.000 0.000 0.000
```

As for the formation energy: -0.060 eV per atom. Its space group is I4/mmm. The value obtained for the density is 5.2 g/cm3.